# 1
{
  "formula": "In3Ga4Sn2",
  "functional": "PBE",
  "state": "relaxed",
  "lattice_angstrom": [[-3.645, 3.507, -0.775], [-5.163, -1.116, 2.541], [-1.750, 3.744, 8.058]],
  "species": ["Ga", "Ga", "Ga", "Ga", "In", "In", "In", "Sn", "Sn"],
  "frac_coords": [[0.939, 0.559, 0.648], [0.061, 0.441, 0.352], [0.295, 0.379, 0.029], [0.705, 0.621, 0.971], [0.000, 0.000, 0.000], [0.426, 0.782, 0.293], [0.574, 0.218, 0.707], [0.274, 0.871, 0.661], [0.726, 0.129, 0.339]],
  "mass_density_g_cm3": 6.7,
  "delta_e_f_ev_per_atom": 0.043,
  "de_polymorph_ev_per_atom": 0.000
}

***

# 2
{
  "formula": "In4GaSn4",
  "functional": "PBE",
  "state": "relaxed",
  "lattice_angstrom": [[3.237, -0.030, 0.955], [1.318, 8.449, 1.223], [-0.886, 0.819, 8.569]],
  "species": ["Sn", "Sn", "Sn", "Sn", "In", "In", "In", "In", "Ga"],
  "frac_coords": [[0.847, 0.822, 0.018], [0.848, 0.508, 0.323], [0.153, 0.178, 0.982], [0.152, 0.492, 0.677], [0.832, 0.161, 0.649], [0.168, 0.839, 0.351], [0.496, 0.820, 0.689], [0.504, 0.180, 0.311], [0.500, 0.500, 0.000]],
  "mass_density_g_cm3": 7.0,
  "delta_e_f_ev_per_atom": 0.042
}

***

# 3
{
  "formula": "In2Ga2Sn",
  "functional": "PBE",
  "state": "relaxed",
  "lattice_angstrom": [[3.368, 0.030, -0.364], [-0.160, 4.000, -1.153], [0.075, 0.397, 8.898]],
  "species": ["Ga", "Ga", "In", "In", "Sn"],
  "frac_coords": [[0.304, 0.288, 0.575], [0.696, 0.712, 0.425], [0.920, 0.888, 0.777], [0.080, 0.112, 0.223], [0.500, 0.500, 0.000]],
  "mass_density_g_cm3": 6.7,
  "delta_e_f_ev_per_atom": 0.041,
  "de_polymorph_ev_per_atom": 0.007
}

***

# 4
{
  "formula": "In2GaSn",
  "functional": "PBE",
  "state": "relaxed",
  "lattice_angstrom": [[6.448, 0.000, 0.000], [0.000, 4.241, 1.155], [0.000, -2.156, 7.905]],
  "species": ["Sn", "Sn", "In", "In", "In", "In", "Ga", "Ga"],
  "frac_coords": [[0.750, 0.998, 0.151], [0.250, 0.002, 0.849], [0.994, 0.502, 0.677], [0.506, 0.502, 0.677], [0.006, 0.498, 0.323], [0.494, 0.498, 0.323], [0.750, 0.002, 0.816], [0.250, 0.998, 0.184]],
  "mass_density_g_cm3": 6.0,
  "delta_e_f_ev_per_atom": 0.097,
  "de_polymorph_ev_per_atom": 0.053
}

***

# 5
{
  "formula": "In4GaSn",
  "functional": "PBE",
  "state": "relaxed",
  "lattice_angstrom": [[5.071, 0.000, -0.448], [0.000, 8.481, 0.000], [-1.880, -4.240, 7.761]],
  "species": ["Sn", "Sn", "Ga", "Ga", "In", "In", "In", "In", "In", "In", "In", "In"],
  "frac_coords": [[0.840, 0.816, 0.632], [0.160, 0.184, 0.368], [0.762, 0.520, 0.039], [0.238, 0.480, 0.961], [0.634, 0.893, 0.283], [0.366, 0.610, 0.717], [0.000, 0.813, 0.000], [0.000, 0.187, 0.000], [0.634, 0.390, 0.283], [0.789, 0.313, 0.626], [0.211, 0.687, 0.374], [0.366, 0.107, 0.717]],
  "mass_density_g_cm3": 6.6,
  "delta_e_f_ev_per_atom": 0.060,
  "de_polymorph_ev_per_atom": 0.007
}

***

# 6
{
  "formula": "In4Ga4Sn",
  "functional": "PBE",
  "state": "relaxed",
  "lattice_angstrom": [[-4.895, 0.624, -0.911], [-3.119, -6.127, -1.255], [-3.716, -0.347, 5.910]],
  "species": ["Ga", "Ga", "Ga", "Ga", "In", "In", "In", "In", "Sn"],
  "frac_coords": [[0.999, 0.655, 0.346], [0.346, 0.654, 0.655], [0.001, 0.345, 0.654], [0.654, 0.346, 0.345], [0.672, 0.657, 0.998], [0.329, 0.998, 0.343], [0.328, 0.343, 0.002], [0.671, 0.002, 0.657], [0.000, 0.000, 0.000]],
  "mass_density_g_cm3": 6.7,
  "delta_e_f_ev_per_atom": 0.043
}

***

# 7
{
  "formula": "In2GaSn2",
  "functional": "PBE",
  "state": "relaxed",
  "lattice_angstrom": [[-0.165, 1.183, 4.110], [-3.988, -1.527, 0.279], [0.776, -7.231, 4.341]],
  "species": ["Sn", "Sn", "Ga", "In", "In"],
  "frac_coords": [[0.250, 0.750, 0.500], [0.750, 0.250, 0.500], [0.000, 0.000, 0.000], [0.595, 0.595, 0.810], [0.405, 0.405, 0.190]],
  "mass_density_g_cm3": 6.2,
  "delta_e_f_ev_per_atom": 0.173,
  "de_polymorph_ev_per_atom": 0.126
}

***

# 8
{
  "formula": "In3Ga2Sn",
  "functional": "PBE",
  "state": "relaxed",
  "lattice_angstrom": [[-0.107, -2.567, 3.272], [0.825, -7.703, -3.372], [9.316, -2.829, 0.729]],
  "species": ["In", "In", "In", "In", "In", "In", "Sn", "Sn", "Ga", "Ga", "Ga", "Ga"],
  "frac_coords": [[0.046, 0.122, 0.786], [0.389, 0.186, 0.036], [0.766, 0.831, 0.638], [0.954, 0.878, 0.214], [0.611, 0.814, 0.964], [0.234, 0.169, 0.362], [0.583, 0.520, 0.314], [0.417, 0.480, 0.686], [0.187, 0.534, 0.092], [0.618, 0.208, 0.557], [0.382, 0.792, 0.443], [0.813, 0.466, 0.908]],
  "mass_density_g_cm3": 6.4,
  "delta_e_f_ev_per_atom": 0.068,
  "de_polymorph_ev_per_atom": 0.025
}

***

DFT total energy values (in eV per atom) by entry order: -3.105, -3.291, -3.066, -3.030, -2.937, -2.964, -3.129, -2.977.
Total magnetization values (in μB per formula unit) by entry order: 0.00, 0.00, 0.00, 0.00, 0.00, 0.00, 0.00, 0.00.